Entry from Alexandria: a relaxed NbPt crystal (GGA-PBE).

```
2
Lattice="0.0000 2.6765 2.6765 2.6765 0.0000 2.6765 2.6765 2.6765 0.0000" Properties=species:S:1:pos:R:3 pbc="T T T"
Nb 0.0000 0.0000 0.0000
Pt 2.6765 2.6765 2.6765
```

Properties
VASP energy   -16.14 eV/cell
ΔE_f   -0.03 eV per formula unit
N(E_F)   2.44 states/eV/cell
SG   No. 225



Entry from Alexandria: a relaxed NbPt crystal (GGA-PBE).

```
4
Lattice="4.7142 -1.4289 0.0000 4.7142 1.4289 0.0000 -0.8093 0.0000 4.9929" Properties=species:S:1:pos:R:3 pbc="T T T"
Nb 0.8743 0.0000 1.7081
Nb 7.7448 0.0000 3.2847
Pt 3.4238 0.0000 0.7395
Pt 5.1953 0.0000 4.2534
```

Properties
VASP energy   -34.40 eV/cell
ΔE_f   -1.09 eV per formula unit
N(E_F)   3.66 states/eV/cell
SG   No. 12



Entry from Alexandria: a relaxed Nb7Pt crystal (GGA-PBE).

```
16
Lattice="4.6772 2.7004 3.7591 -4.6772 2.7004 3.7591 0.0000 -5.4008 3.7591" Properties=species:S:1:pos:R:3 pbc="T T T"
Nb 0.0000 -2.7273 3.2853
Nb -2.3619 1.3637 3.2853
Nb 0.0000 0.0000 1.4054
Nb -2.3172 -1.3378 5.1726
Nb -2.3619 -1.3637 7.9921
Nb 0.0000 -2.6756 6.1048
Nb -2.3172 1.3378 6.1048
Nb 2.3172 -1.3378 5.1726
Nb 0.0000 2.6756 5.1726
Nb 2.3619 1.3637 3.2853
Nb 2.3172 1.3378 6.1048
Nb 0.0000 0.0000 9.8720
Nb 2.3619 -1.3637 7.9921
Nb 0.0000 2.7273 7.9921
Pt 0.0000 0.0000 4.1466
Pt 0.0000 0.0000 7.1308
```

Properties
VASP energy   -156.50 eV/cell
ΔE_f   -1.72 eV per formula unit
N(E_F)   11.41 states/eV/cell
SG   No. 166



Entry from Alexandria: a relaxed NbPt crystal (GGA-PBE).

```
8
Lattice="5.3065 0.0000 0.0000 0.0000 5.3065 0.0000 0.0000 0.0000 5.3165" Properties=species:S:1:pos:R:3 pbc="T T T"
Nb 0.9636 0.9636 0.0000
Nb 1.6897 3.6169 2.6583
Nb 3.6169 1.6897 2.6583
Nb 4.3429 4.3429 0.0000
Pt 0.9831 0.9831 2.6583
Pt 1.6702 3.6364 0.0000
Pt 3.6364 1.6702 0.0000
Pt 4.3234 4.3234 2.6583
```

Properties
VASP energy   -65.21 eV/cell
ΔE_f   -0.19 eV per formula unit
N(E_F)   9.40 states/eV/cell
SG   No. 136



Number 1 is which compound?
NbPt



What is the formula in the third record?
Nb7Pt



What is the formula in the first record?
NbPt